ScCu6Au12 GGA-PBE relaxed; symmetry = R-3 (148); ΔH_f (0 K) = 0.01 eV/atom
1.0
5.648 3.261 3.065
-5.648 3.261 3.065
0.000 -6.521 3.065
Sc Cu Au
1 6 12
direct
0.000 0.000 0.000 Sc
0.182 0.259 0.431 Cu
0.259 0.431 0.182 Cu
0.431 0.182 0.259 Cu
0.569 0.818 0.741 Cu
0.741 0.569 0.818 Cu
0.818 0.741 0.569 Cu
0.027 0.681 0.155 Au
0.155 0.027 0.681 Au
0.182 0.638 0.531 Au
0.319 0.845 0.973 Au
0.362 0.469 0.818 Au
0.469 0.818 0.362 Au
0.531 0.182 0.638 Au
0.638 0.531 0.182 Au
0.681 0.155 0.027 Au
0.818 0.362 0.469 Au
0.845 0.973 0.319 Au
0.973 0.319 0.845 Au

Ba6Sr2LiRh GGA-PBE relaxed; symmetry = I4mm (107); ΔH_f (0 K) = -0.03 eV/atom
1.0
-4.597 4.597 6.497
4.597 -4.597 6.497
4.597 4.597 -6.497
Ba Sr Li Rh
6 2 1 1
direct
0.000 0.000 0.000 Ba
0.470 0.470 0.471 Ba
0.470 0.999 0.000 Ba
0.471 0.471 0.000 Ba
0.999 0.470 0.000 Ba
0.999 0.999 0.529 Ba
0.485 0.985 0.500 Sr
0.985 0.485 0.500 Sr
0.736 0.736 0.000 Li
0.235 0.235 0.000 Rh

CdB3F12 GGA-PBE relaxed; uncorrected formation energy = -40.05 eV per formula unit; symmetry = R3c (161)
1.0
4.157 2.400 8.054
-4.157 2.400 8.054
0.000 -4.800 8.054
Cd B F
2 6 24
direct
0.000 0.000 0.000 Cd
0.500 0.500 0.500 Cd
0.121 0.394 0.806 B
0.306 0.894 0.621 B
0.394 0.806 0.121 B
0.621 0.306 0.894 B
0.806 0.121 0.394 B
0.894 0.621 0.306 B
0.006 0.703 0.106 F
0.007 0.435 0.397 F
0.106 0.006 0.703 F
0.122 0.236 0.813 F
0.203 0.506 0.606 F
0.236 0.813 0.122 F
0.239 0.321 0.899 F
0.313 0.736 0.622 F
0.321 0.899 0.239 F
0.397 0.007 0.435 F
0.399 0.821 0.739 F
0.435 0.397 0.007 F
0.506 0.606 0.203 F
0.507 0.897 0.935 F
0.606 0.203 0.506 F
0.622 0.313 0.736 F
0.703 0.106 0.006 F
0.736 0.622 0.313 F
0.739 0.399 0.821 F
0.813 0.122 0.236 F
0.821 0.739 0.399 F
0.897 0.935 0.507 F
0.899 0.239 0.321 F
0.935 0.507 0.897 F

no.,E (eV per atom)
1,-3.685
2,-2.447
3,-5.216